{
  "formula": "Zn2CdTe",
  "functional": "PBEsol",
  "state": "relaxed",
  "lattice": [[-1.1241, 1.1074, -3.4674], [-0.0612, -3.9377, -1.2377], [-5.3105, 1.2178, 2.1105]],
  "species": ["Zn", "Zn", "Te", "Cd"],
  "fractional_positions": [[0.0000, 0.3197, 0.2832], [0.0000, 0.6803, 0.7168], [0.5000, 0.5000, 0.0000], [0.5000, 0.0000, 0.5000]],
  "n_ef_per_ev_atom": 0.34,
  "mass_density_g_cm3": 7.011,
  "magmom_total_mub_per_atom": 0.000,
  "e_above_lowest_polymorph_mev_per_atom": 25
}